Li3Cu2F8: optimized geometry, PBE.

## Properties
Energy above the lowest structure with this stoichiometry ... 0.083 eV/atom

a = 10.3828 Å, b = 5.6262 Å, c = 4.9101 Å
α = 90.00°, β = 108.33°, γ = 90.00°
Space group C2/m (No. 12)
One atom of each set of equivalent atoms:
Li  0.0000  0.0000  0.0000 x2
Li  0.0000  0.2649  0.5000 x4
Cu  0.2425  0.5000  0.1906 x4
F  0.1090  0.5000  0.3737 x4
F  0.1189  0.0000  0.4365 x4
F  0.1260  0.2334  0.9051 x8

MgGe2C: optimized geometry, PBE.

## Properties
E_form ... 0.53 eV per atom
Energy above the lowest structure with this stoichiometry ... 0.000 eV/atom

a = 6.3857 Å, b = 6.3857 Å, c = 6.2721 Å
α = 90.00°, β = 90.00°, γ = 90.00°
Space group I-42d (No. 122)
One atom of each set of equivalent atoms:
Mg  0.0000  0.0000  0.0000 x4
Ge  0.1668  0.2500  0.6250 x8
C  0.0000  0.0000  0.5000 x4

MnH3Pd3: optimized geometry, PBE.

## Properties
Energy above the lowest structure with this stoichiometry ... 0.000 eV/atom

a = 5.0803 Å, b = 5.0803 Å, c = 19.9045 Å
α = 90.00°, β = 90.00°, γ = 120.00°
Space group R-3 (No. 148, hexagonal axes)
One atom of each set of equivalent atoms:
Mn  0.0000  0.0000  0.1667 x6
H  0.0004  0.3269  0.4320 x18
Pd  0.0000  0.3340  0.2732 x18